1.
Below is a relaxed structure of AlCu2Br, with properties calculated at the GGA-PBE level.

It has space group I-42d (No. 122), with a = 6.340 Å, b = 6.340 Å, c = 8.294 Å, α = 90.00°, β = 90.00° and γ = 90.00°. The distinct sites, in fractional coordinates, are Al at (0.000, 0.000, 0.000), Cu at (0.239, 0.250, 0.125) and Br at (0.000, 0.000, 0.500).

The magnetic moment comes out at 0.000 μB/cell. The raw total energy comes out at -3.17 eV/atom. For the uncorrected formation energy, the calculation gives 0.94 eV per formula unit. The calculation puts the energy above the most stable polymorph in this dataset at 0.332 eV per atom. Its crystal system is tetragonal.

***

2.
Below is a relaxed structure of AlCu2Br, with properties calculated at the GGA-PBE level.

It has space group Pmmm (No. 47), with a = 3.125 Å, b = 4.056 Å, c = 5.811 Å, α = 90.00°, β = 90.00° and γ = 90.00°. The distinct sites, in fractional coordinates, are Al at (0.000, 0.000, 0.000), Cu at (0.000, 0.500, 0.500), Cu at (0.500, 0.500, 0.000) and Br at (0.500, 0.000, 0.500).

The magnetic moment comes out at 0.000 μB/cell. The raw total energy comes out at -3.10 eV/atom. For the uncorrected formation energy, the calculation gives 1.21 eV per formula unit. The calculation puts the energy above the most stable polymorph in this dataset at 0.401 eV per atom. Its crystal system is orthorhombic.

***

3.
Below is a relaxed structure of AlCu2Br8, with properties calculated at the GGA-PBE level.

It has space group C2/m (No. 12), with a = 11.174 Å, b = 11.516 Å, c = 6.475 Å, α = 90.00°, β = 108.65° and γ = 90.00°. The distinct sites, in fractional coordinates, are Al at (0.000, 0.000, 0.000), Cu at (0.188, 0.000, 0.666), Br at (0.079, 0.500, 0.186), Br at (0.092, 0.151, 0.823) and Br at (0.218, 0.000, 0.324).

The magnetic moment comes out at 2.185 μB/cell. The raw total energy comes out at -2.79 eV/atom. For the uncorrected formation energy, the calculation gives -5.34 eV per formula unit. Its crystal system is monoclinic.

***

4.
Below is a relaxed structure of Al2CuBr, with properties calculated at the GGA-PBE level.

It has space group C2/m (No. 12), with a = 5.455 Å, b = 9.420 Å, c = 3.878 Å, α = 90.00°, β = 128.57° and γ = 90.00°. The distinct sites, in fractional coordinates, are Al at (0.250, 0.250, 0.000), Cu at (0.000, 0.000, 0.500) and Br at (0.000, 0.500, 0.500).

The magnetic moment comes out at 0.000 μB/cell. The raw total energy comes out at -3.08 eV/atom. For the uncorrected formation energy, the calculation gives 0.94 eV per formula unit. The calculation puts the energy above the most stable polymorph in this dataset at 0.339 eV per atom. Its crystal system is monoclinic.

***

5.
Below is a relaxed structure of AlCuBr, with properties calculated at the GGA-PBE level.

It has space group Fmm2 (No. 42), with a = 3.658 Å, b = 5.797 Å, c = 11.398 Å, α = 90.00°, β = 90.00° and γ = 90.00°. The distinct sites, in fractional coordinates, are Al at (0.000, 0.000, 0.000), Cu at (0.000, 0.000, 0.638) and Br at (0.000, 0.000, 0.306).

The magnetic moment comes out at 0.000 μB/cell. The raw total energy comes out at -3.07 eV/atom. For the uncorrected formation energy, the calculation gives 0.32 eV per formula unit. The calculation puts the energy above the most stable polymorph in this dataset at 0.141 eV per atom. Its crystal system is orthorhombic.

***

6.
Below is a relaxed structure of AlCu2Br, with properties calculated at the GGA-PBE level.

It has space group Immm (No. 71), with a = 3.055 Å, b = 5.762 Å, c = 8.352 Å, α = 90.00°, β = 90.00° and γ = 90.00°. The distinct sites, in fractional coordinates, are Al at (0.000, 0.000, 0.000), Cu at (0.000, 0.500, 0.264) and Br at (0.000, 0.000, 0.500).

The magnetic moment comes out at 0.000 μB/cell. The raw total energy comes out at -3.15 eV/atom. For the uncorrected formation energy, the calculation gives 1.00 eV per formula unit. The calculation puts the energy above the most stable polymorph in this dataset at 0.347 eV per atom. Its crystal system is orthorhombic.

***

7.
Below is a relaxed structure of Al2CuBr, with properties calculated at the GGA-PBE level.

It has space group Cmmm (No. 65), with a = 6.976 Å, b = 7.197 Å, c = 2.983 Å, α = 90.00°, β = 90.00° and γ = 90.00°. The distinct sites, in fractional coordinates, are Al at (0.250, 0.250, 0.000), Cu at (0.000, 0.000, 0.500) and Br at (0.000, 0.500, 0.500).

The magnetic moment comes out at 0.000 μB/cell. The raw total energy comes out at -3.05 eV/atom. For the uncorrected formation energy, the calculation gives 1.05 eV per formula unit. The calculation puts the energy above the most stable polymorph in this dataset at 0.365 eV per atom. Its crystal system is orthorhombic.

***

8.
Below is a relaxed structure of AlCu2Br, with properties calculated at the GGA-PBE level.

It has space group P4mm (No. 99), with a = 3.215 Å, b = 3.215 Å, c = 6.758 Å, α = 90.00°, β = 90.00° and γ = 90.00°. The distinct sites, in fractional coordinates, are Al at (0.000, 0.000, 0.000), Cu at (0.000, 0.000, 0.627), Cu at (0.500, 0.500, 0.830) and Br at (0.500, 0.500, 0.393).

The magnetic moment comes out at 0.000 μB/cell. The raw total energy comes out at -3.24 eV/atom. For the uncorrected formation energy, the calculation gives 0.66 eV per formula unit. The calculation puts the energy above the most stable polymorph in this dataset at 0.262 eV per atom. Its crystal system is tetragonal.

***

9.
Below is a relaxed structure of AlCuBr5, with properties calculated at the GGA-PBE level.

It has space group P-1 (No. 2), with a = 7.581 Å, b = 7.584 Å, c = 9.305 Å, α = 107.54°, β = 107.53° and γ = 103.39°. The distinct sites, in fractional coordinates, are Al at (0.126, 0.374, 0.250), Cu at (0.500, 0.000, 0.000), Cu at (0.500, 0.000, 0.500), Br at (0.179, 0.721, 0.347), Br at (0.222, 0.679, 0.844), Br at (0.223, 0.266, 0.040), Br at (0.235, 0.276, 0.459) and Br at (0.433, 0.070, 0.751).

The magnetic moment comes out at 0.002 μB/cell. The raw total energy comes out at -2.99 eV/atom. For the uncorrected formation energy, the calculation gives -4.72 eV per formula unit. Its crystal system is triclinic.

***

10.
Below is a relaxed structure of Al3CuBr, with properties calculated at the GGA-PBE level.

It has space group Pm-3m (No. 221), with a = 4.724 Å, b = 4.724 Å, c = 4.724 Å, α = 90.00°, β = 90.00° and γ = 90.00°. The distinct sites, in fractional coordinates, are Al at (0.000, 0.000, 0.500), Cu at (0.000, 0.000, 0.000) and Br at (0.500, 0.500, 0.500).

The magnetic moment comes out at 0.000 μB/cell. The raw total energy comes out at -3.34 eV/atom. For the uncorrected formation energy, the calculation gives 0.32 eV per formula unit. The calculation puts the energy above the most stable polymorph in this dataset at 0.000 eV per atom. Its crystal system is cubic.

***

11.
Below is a relaxed structure of AlCuBr, with properties calculated at the GGA-PBE level.

It has space group F-43m (No. 216), with a = 6.488 Å, b = 6.488 Å, c = 6.488 Å, α = 90.00°, β = 90.00° and γ = 90.00°. The distinct sites, in fractional coordinates, are Al at (0.000, 0.000, 0.000), Cu at (0.250, 0.250, 0.750) and Br at (0.000, 0.000, 0.500).

The magnetic moment comes out at 0.000 μB/cell. The raw total energy comes out at -2.80 eV/atom. For the uncorrected formation energy, the calculation gives 1.12 eV per formula unit. The calculation puts the energy above the most stable polymorph in this dataset at 0.409 eV per atom. Its crystal system is cubic.

***

12.
Below is a relaxed structure of AlCu2Br, with properties calculated at the GGA-PBE level.

It has space group Pmmm (No. 47), with a = 3.280 Å, b = 3.306 Å, c = 6.323 Å, α = 90.00°, β = 90.00° and γ = 90.00°. The distinct sites, in fractional coordinates, are Al at (0.000, 0.000, 0.000), Cu at (0.500, 0.500, 0.193) and Br at (0.000, 0.000, 0.500).

The magnetic moment comes out at 0.000 μB/cell. The raw total energy comes out at -3.23 eV/atom. For the uncorrected formation energy, the calculation gives 0.67 eV per formula unit. The calculation puts the energy above the most stable polymorph in this dataset at 0.266 eV per atom. Its crystal system is orthorhombic.